Sm2ZrSn | PBE | optimized geometry

Values from the calculation:
- Fermi-level density of states (states/eV/cell) = 3.9
- M_tot (μB per formula unit) = 0.00
- space group = P4/mmm (123)
- energy of formation (eV/f.u.) = -1.29
- ΔE to the lowest computed polymorph (eV per atom) = 0.0000

a = 4.7696 Å, b = 4.7287 Å, c = 4.7287 Å
α = 90.00°, β = 90.00°, γ = 90.00°
Fractional positions:
Sn 0.5000 0.0000 0.0000
Sm 0.0000 0.0000 0.5000
Sm 0.0000 0.5000 0.0000
Zr 0.5000 0.5000 0.5000